Run w
Tl2ReTc: optimized geometry, PBE.

Computed properties:
Spin magnetization   0.0 μB per formula unit
Density of states at the Fermi level   2.9 states/eV per cell
Space-group type   Pm (6)

Cell: 3.0654 3.0530 8.9469 Å, 80.36 90.00 90.00°
Fractional coordinates of all 4 atoms:
Tl 0.5000 0.0394 0.2920
Tc 0.5000 0.8361 0.7040
Tl 0.0000 0.2114 0.9566
Re 0.0000 0.4131 0.5474

=====

Run x
Tl2ReTc: optimized geometry, PBE.

Computed properties:
Spin magnetization   2.6 μB per formula unit
Density of states at the Fermi level   11.1 states/eV per cell
Space-group type   I-42d (122)

Cell: 7.7018 7.7018 6.1258 Å, 51.05 51.05 90.00°
Fractional coordinates of all 8 atoms:
Tc 0.5000 0.5000 0.0000
Tc 0.2500 0.7500 0.5000
Tl 0.8750 0.8750 0.7500
Re 0.7500 0.2500 0.5000
Re 0.0000 0.0000 0.0000
Tl 0.6250 0.1250 0.2500
Tl 0.3750 0.3750 0.7500
Tl 0.1250 0.6250 0.2500

=====

run w comes first in stability; the runner-up is 104.5 kJ/mol of atoms higher.